Below is crystalline Na4Ga3Pt2 at its relaxed geometry, with properties calculated at the PBE level.

Values from the calculation:
DOS at the Fermi energy = 2.9 states/eV per cell
SG = No. 12
E_tot = -29.5 eV per cell
volume = 205.24 Å³/f.u.

Cell lengths 8.059, 8.059, 7.507 Å; angles 112.47, 112.47, 27.25 degrees
Atoms (fractional coordinates):
Na 0.112 0.112 0.377
Na 0.264 0.264 0.842
Na 0.736 0.736 0.158
Na 0.888 0.888 0.623
Ga 0.427 0.427 0.325
Ga 0.500 0.500 0.000
Ga 0.573 0.573 0.675
Pt 0.081 0.081 0.907
Pt 0.919 0.919 0.093